[1]
A plane-wave DFT calculation with GGA-PBE was carried out for an optimized crystal structure of YCuB2Mo.

```
YCuB2Mo
1.0
4.5558 0.0000 0.0000
0.0000 4.9823 0.0000
0.0000 0.0000 4.5558
Y Mo B Cu
1 1 2 1
direct
0.0000 0.0000 0.0000 Y
0.0000 0.5000 0.0000 Mo
0.0000 0.0000 0.5000 B
0.5000 0.0000 0.0000 B
0.5000 0.5000 0.5000 Cu
```

Output
- DFT formation energy: 2602 meV/atom

---

[2]
A plane-wave DFT calculation with GGA-PBE was carried out for an optimized crystal structure of CuB3N3.

```
CuB3N3
1.0
-0.5194 0.3133 4.5674
-4.5680 0.2700 -0.5380
-0.3043 -4.5889 0.2802
Cu B N
2 6 6
direct
0.5000 0.5000 0.5000 Cu
0.0000 0.0000 0.0000 Cu
0.2500 0.0000 0.5000 B
0.0000 0.5000 0.2500 B
0.5000 0.7500 0.0000 B
0.7500 0.0000 0.5000 B
0.0000 0.5000 0.7500 B
0.5000 0.2500 0.0000 B
0.0000 0.2500 0.5000 N
0.0000 0.7500 0.5000 N
0.5000 0.0000 0.7500 N
0.7500 0.5000 0.0000 N
0.5000 0.0000 0.2500 N
0.2500 0.5000 0.0000 N
```

Output
- ΔE_f (raw): -0.02 eV/atom

---

[3]
A plane-wave DFT calculation with GGA-PBE was carried out for an optimized crystal structure of Cu2BN.

```
Cu2BN
1.0
-0.5679 -3.7799 -2.0902
2.3845 1.4835 -3.3306
4.9840 -2.9342 -0.5879
B Cu N
2 4 2
direct
0.5000 0.5000 0.0000 B
0.2500 0.7500 0.5000 B
0.6566 0.1250 0.2500 Cu
0.0934 0.6250 0.2500 Cu
0.3750 0.3434 0.7500 Cu
0.8750 0.9066 0.7500 Cu
0.0000 0.0000 0.0000 N
0.7500 0.2500 0.5000 N
```

Output
- ΔE_f (raw): 1.02 eV/atom

---

[4]
A plane-wave DFT calculation with GGA-PBE was carried out for an optimized crystal structure of Cu2BN.

```
Cu2BN
1.0
0.0000 2.6288 2.6288
2.6288 0.0000 2.6288
2.6288 2.6288 0.0000
B Cu N
1 2 1
direct
0.0000 0.0000 0.0000 B
0.2500 0.2500 0.2500 Cu
0.7500 0.7500 0.7500 Cu
0.5000 0.5000 0.5000 N
```

Output
- ΔE_f (raw): 1.11 eV/atom

---

[5]
A plane-wave DFT calculation with GGA-PBE was carried out for an optimized crystal structure of CuBN2.

```
CuBN2
1.0
4.2346 0.0000 0.0000
0.0000 4.2346 0.0000
2.1173 2.1173 3.5790
B Cu N
2 2 4
direct
0.5000 0.5000 0.0000 B
0.2500 0.7500 0.5000 B
0.0000 0.0000 0.0000 Cu
0.7500 0.2500 0.5000 Cu
0.5470 0.1250 0.2500 N
0.2030 0.6250 0.2500 N
0.3750 0.4530 0.7500 N
0.8750 0.7970 0.7500 N
```

Output
- ΔE_f (raw): 0.02 eV/atom

---

[6]
A plane-wave DFT calculation with GGA-PBE was carried out for an optimized crystal structure of CuB6N6.

```
CuB6N6
1.0
4.5333 0.0000 0.0000
0.0000 4.5333 0.0000
0.0000 0.0000 4.5333
Cu B N
1 6 6
direct
0.5000 0.5000 0.5000 Cu
0.2536 0.0000 0.5000 B
0.0000 0.5000 0.2536 B
0.5000 0.7464 0.0000 B
0.7464 0.0000 0.5000 B
0.0000 0.5000 0.7464 B
0.5000 0.2536 0.0000 B
0.0000 0.2475 0.5000 N
0.0000 0.7525 0.5000 N
0.5000 0.0000 0.7525 N
0.7525 0.5000 0.0000 N
0.5000 0.0000 0.2475 N
0.2475 0.5000 0.0000 N
```

Output
- ΔE_f (raw): -0.42 eV/atom

---

[7]
A plane-wave DFT calculation with GGA-PBE was carried out for an optimized crystal structure of Cu3BN.

```
Cu3BN
1.0
-1.9163 -1.3268 -3.0451
2.1060 -3.2039 0.0707
-2.5687 -1.6370 2.3298
B Cu N
1 3 1
direct
0.5000 0.5000 0.5000 B
0.0000 0.5000 0.0000 Cu
0.0000 0.0000 0.5000 Cu
0.5000 0.0000 0.0000 Cu
0.0000 0.0000 0.0000 N
```

Output
- ΔE_f (raw): 0.89 eV/atom

---

[8]
A plane-wave DFT calculation with GGA-PBE was carried out for an optimized crystal structure of CuBN2.

```
CuBN2
1.0
1.7871 0.0000 4.8091
-0.8936 1.5477 4.8091
-0.8936 -1.5477 4.8091
B Cu N
1 1 2
direct
0.0000 0.0000 0.0000 B
0.5000 0.5000 0.5000 Cu
0.9070 0.9070 0.9070 N
0.0930 0.0930 0.0930 N
```

Output
- ΔE_f (raw): 0.36 eV/atom

---

[9]
A plane-wave DFT calculation with GGA-PBE was carried out for an optimized crystal structure of CuB2N.

```
CuB2N
1.0
-1.0676 4.2455 -1.1225
-1.2697 0.8075 4.2615
1.8164 3.4653 2.2810
B Cu N
4 2 2
direct
0.5332 0.1250 0.2500 B
0.2168 0.6250 0.2500 B
0.3750 0.4668 0.7500 B
0.8750 0.7832 0.7500 B
0.0000 0.0000 0.0000 Cu
0.7500 0.2500 0.5000 Cu
0.5000 0.5000 0.0000 N
0.2500 0.7500 0.5000 N
```

Output
- ΔE_f (raw): 0.18 eV/atom

---

[10]
A plane-wave DFT calculation with GGA-PBE was carried out for an optimized crystal structure of NaCuB2N.

```
NaCuB2N
1.0
-0.4026 0.2359 -3.6856
-1.9231 -3.4895 -0.0133
-3.2287 1.7776 0.4665
Na B Cu N
1 2 1 1
direct
0.5000 0.5000 0.5000 Na
0.0000 0.0000 0.5000 B
0.5000 0.0000 0.0000 B
0.0000 0.5000 0.0000 Cu
0.0000 0.0000 0.0000 N
```

Output
- ΔE_f (raw): 1.54 eV/atom

---

[11]
A plane-wave DFT calculation with GGA-PBE was carried out for an optimized crystal structure of NaCuB2N.

```
NaCuB2N
1.0
4.5051 0.0000 0.0000
0.0000 4.6631 0.0000
0.0000 0.0000 4.5051
Na B Cu N
1 2 1 1
direct
0.0000 0.0000 0.0000 Na
0.0000 0.0000 0.5000 B
0.5000 0.0000 0.0000 B
0.0000 0.5000 0.0000 Cu
0.5000 0.5000 0.5000 N
```

Output
- ΔE_f (raw): 3.32 eV/atom

---

[12]
A plane-wave DFT calculation with GGA-PBE was carried out for an optimized crystal structure of Cu2BNO.

```
Cu2BNO
1.0
-0.6629 -2.9140 -2.9208
2.4953 0.4666 -1.0319
1.5947 -2.9093 2.5406
B O Cu N
1 1 2 1
direct
0.0000 0.5000 0.0000 B
0.5000 0.5000 0.5000 O
0.0000 0.0000 0.5000 Cu
0.5000 0.0000 0.0000 Cu
0.0000 0.0000 0.0000 N
```

Output
- ΔE_f (raw): 0.29 eV/atom